# 1
LiTaAl2: optimized geometry, PBE-GGA.

Structure (POSCAR):
```
LiTaAl2
1.0
0.0000 3.1570 3.1570
3.1570 0.0000 3.1570
3.1570 3.1570 0.0000
Li Ta Al
1 1 2
Direct
0.0000 0.0000 0.0000
0.2500 0.2500 0.2500
0.5000 0.5000 0.5000
0.7500 0.7500 0.7500
```

Symmetry: F-43m
ρ: 6.4 g/cm³
Final energy: -5.0957 eV/atom
Total moment: 0.000 μB/atom

# 2
LiTaAl2: optimized geometry, PBE-GGA.

Structure (POSCAR):
```
LiTaAl2
1.0
-1.9496 1.9496 9.2997
1.9496 -1.9496 9.2997
1.9496 1.9496 -9.2997
Li Ta Al
2 2 4
Direct
0.0000 0.0000 0.0000
0.7500 0.2500 0.5000
0.2500 0.7500 0.5000
0.5000 0.5000 0.0000
0.1301 0.6250 0.0051
0.3750 0.3801 0.5051
0.6199 0.1250 0.9949
0.8750 0.8699 0.4949
```

Symmetry: I-42d
ρ: 5.7 g/cm³
Final energy: -4.7784 eV/atom
Total moment: 0.000 μB/atom

# 3
LiTaAl2: optimized geometry, PBE-GGA.

Structure (POSCAR):
```
LiTaAl2
1.0
1.4567 0.8410 9.3462
-1.4567 0.8410 9.3462
0.0000 -1.6820 9.3462
Li Ta Al
1 1 2
Direct
0.0000 0.0000 0.0000
0.5000 0.5000 0.5000
0.2491 0.2491 0.2491
0.7509 0.7509 0.7509
```

Symmetry: R-3m
ρ: 5.8 g/cm³
Final energy: -5.3966 eV/atom
Total moment: 0.000 μB/atom

# 4
LiTaAl2: optimized geometry, PBE-GGA.

Structure (POSCAR):
```
LiTaAl2
1.0
2.9098 0.0000 0.0000
0.0000 4.7299 0.0000
0.0000 0.0000 4.7294
Li Ta Al
1 1 2
Direct
0.0000 0.0000 0.0000
0.0000 0.5000 0.4938
0.5000 0.0000 0.4986
0.5000 0.5000 0.9936
```

Symmetry: Pmm2
ρ: 6.2 g/cm³
Final energy: -5.4859 eV/atom
Total moment: 0.000 μB/atom